Below is a relaxed structure of Pr3Si8Os3, with properties calculated at the PBE-GGA level.

electronic total energy	-6.949	eV/atom
space group	Immm (71)
formation energy without anion corrections	-420	meV/atom

a = 4.1777 Å, b = 8.0159 Å, c = 8.0159 Å
α = 77.09°, β = 74.90°, γ = 74.90°
Fractional positions:
Si (0.8345, 0.8051, 0.5260)
Si (0.3808, 0.3288, 0.9097)
Si (0.8345, 0.5260, 0.8051)
Si (0.3808, 0.9097, 0.3288)
Si (0.1655, 0.1949, 0.4740)
Pr (0.1892, 0.8108, 0.8108)
Os (0.0000, 0.7794, 0.2206)
Pr (0.8108, 0.1892, 0.1892)
Si (0.1655, 0.4740, 0.1949)
Os (0.0000, 0.2206, 0.7794)
Si (0.6192, 0.6712, 0.0903)
Pr (0.5000, 0.5000, 0.5000)
Os (0.5000, 0.0000, 0.0000)
Si (0.6192, 0.0903, 0.6712)

=====

Below is a relaxed structure of Pr2SiOs, with properties calculated at the PBE-GGA level.

electronic total energy	-6.942	eV/atom
space group	R3m (160)
formation energy without anion corrections	-389	meV/atom

a = 4.1950 Å, b = 4.1948 Å, c = 7.8319 Å
α = 74.45°, β = 74.47°, γ = 60.00°
Fractional positions:
Si (0.1359, 0.8988, 0.8293)
Pr (0.7169, 0.4794, 0.0869)
Os (0.4691, 0.2321, 0.8297)
Pr (0.8884, 0.6517, 0.5715)